Record 1
Density functional theory data (GGA-PBE) for crystalline LiPrGe at its relaxed geometry.

abc: 3.434 3.434 11.502
angles: 90.00 90.00 90.00
Space group I4mm (No. 107)
One atom of each set of equivalent atoms:
Li: 0.000 0.000 0.000 [2 per cell]
Pr: 0.000 0.000 0.285 [2 per cell]
Ge: 0.000 0.000 0.605 [2 per cell]

Computed properties:
uncorrected energy = -4.073 eV/atom
calculated formation energy = -0.3032 eV per atom

---

Record 2
Density functional theory data (GGA-PBE) for crystalline LiPrGe4 at its relaxed geometry.

abc: 7.952 7.952 7.952
angles: 90.00 90.00 90.00
Space group F-43m (No. 216)
One atom of each set of equivalent atoms:
Li: 0.000 0.000 0.000 [4 per cell]
Pr: 0.250 0.250 0.250 [4 per cell]
Ge: 0.126 0.126 0.626 [16 per cell]

Computed properties:
uncorrected energy = -4.506 eV/atom
calculated formation energy = -0.3117 eV per atom

---

Record 3
Density functional theory data (GGA-PBE) for crystalline LiPrGe2 at its relaxed geometry.

abc: 7.853 3.998 10.766
angles: 90.00 90.00 90.00
Space group Pnma (No. 62)
One atom of each set of equivalent atoms:
Li: 0.009 0.250 0.110 [4 per cell]
Pr: 0.140 0.750 0.365 [4 per cell]
Ge: 0.157 0.750 0.683 [4 per cell]
Ge: 0.220 0.750 0.067 [4 per cell]

Computed properties:
energy relative to the lowest polymorph listed for this composition = 0 meV/atom
uncorrected energy = -4.653 eV/atom
calculated formation energy = -0.6708 eV per atom

---

Record 4
Density functional theory data (GGA-PBE) for crystalline LiPrGe at its relaxed geometry.

abc: 6.838 6.838 6.838
angles: 90.00 90.00 90.00
Space group F-43m (No. 216)
One atom of each set of equivalent atoms:
Li: 0.000 0.000 0.000 [4 per cell]
Pr: 0.000 0.000 0.500 [4 per cell]
Ge: 0.250 0.250 0.250 [4 per cell]

Computed properties:
uncorrected energy = -4.314 eV/atom
calculated formation energy = -0.5434 eV per atom

---

Record 5
Density functional theory data (GGA-PBE) for crystalline Li2PrGe4 at its relaxed geometry.

abc: 6.922 6.922 5.739
angles: 90.00 90.00 90.00
Space group I4/mmm (No. 139)
One atom of each set of equivalent atoms:
Li: 0.000 0.500 0.250 [4 per cell]
Pr: 0.000 0.000 0.000 [2 per cell]
Ge: 0.191 0.191 0.500 [8 per cell]

Computed properties:
uncorrected energy = -4.256 eV/atom
calculated formation energy = -0.3878 eV per atom

---

Record 6
Density functional theory data (GGA-PBE) for crystalline LiPrGe at its relaxed geometry.

abc: 4.231 15.778 4.575
angles: 90.00 90.00 90.00
Space group Cmcm (No. 63)
One atom of each set of equivalent atoms:
Li: 0.000 0.000 0.000 [4 per cell]
Pr: 0.000 0.337 0.250 [4 per cell]
Ge: 0.000 0.145 0.250 [4 per cell]

Computed properties:
uncorrected energy = -4.183 eV/atom
calculated formation energy = -0.4127 eV per atom

---

Record 7
Density functional theory data (GGA-PBE) for crystalline LiPr3Ge6Pt2 at its relaxed geometry.

abc: 6.0631 6.0631 8.1926
angles: 90.00 90.00 120.00
Space group P-3m1 (No. 164)
One atom of each set of equivalent atoms:
Li: 0.0000 0.0000 0.0000 [1 per cell]
Pr: 0.0000 0.0000 0.5000 [1 per cell]
Pr: 0.3333 0.6667 0.1447 [2 per cell]
Ge: 0.1900 0.3800 0.7918 [6 per cell]
Pt: 0.3333 0.6667 0.5357 [2 per cell]

Computed properties:
uncorrected energy = -5.148 eV/atom
calculated formation energy = -0.4782 eV per atom

---

Record 8
Density functional theory data (GGA-PBE) for crystalline LiPrGePt at its relaxed geometry.

abc: 6.727 6.727 6.727
angles: 90.00 90.00 90.00
Space group F-43m (No. 216)
One atom of each set of equivalent atoms:
Li: 0.000 0.000 0.000 [4 per cell]
Pr: 0.250 0.250 0.250 [4 per cell]
Ge: 0.250 0.250 0.750 [4 per cell]
Pt: 0.000 0.000 0.500 [4 per cell]

Computed properties:
uncorrected energy = -5.072 eV/atom
calculated formation energy = -0.7344 eV per atom

---

Record 9
Density functional theory data (GGA-PBE) for crystalline LiPrGe2Pt2 at its relaxed geometry.

abc: 4.3700 4.3700 6.8040
angles: 90.00 90.00 120.00
Space group P-3m1 (No. 164)
One atom of each set of equivalent atoms:
Li: 0.0000 0.0000 0.0000 [1 per cell]
Pr: 0.0000 0.0000 0.5000 [1 per cell]
Ge: 0.3333 0.6667 0.1959 [2 per cell]
Pt: 0.3333 0.6667 0.8041 [2 per cell]

Computed properties:
uncorrected energy = -5.542 eV/atom
calculated formation energy = -0.8741 eV per atom

---

Record 10
Density functional theory data (GGA-PBE) for crystalline Li2PrPuGe2 at its relaxed geometry.

abc: 4.5213 4.5213 7.2796
angles: 90.00 90.00 120.00
Space group P-3m1 (No. 164)
One atom of each set of equivalent atoms:
Li: 0.3333 0.6667 0.2805 [2 per cell]
Pr: 0.0000 0.0000 0.0000 [1 per cell]
Pu: 0.0000 0.0000 0.5000 [1 per cell]
Ge: 0.3333 0.6667 0.7290 [2 per cell]

Computed properties:
uncorrected energy = -5.836 eV/atom
calculated formation energy = -0.4739 eV per atom

---

Record 11
Density functional theory data (GGA-PBE) for crystalline LiPr3Ge6Rh2 at its relaxed geometry.

abc: 5.9878 5.9878 8.2567
angles: 90.00 90.00 120.00
Space group P-3m1 (No. 164)
One atom of each set of equivalent atoms:
Li: 0.0000 0.0000 0.0000 [1 per cell]
Pr: 0.0000 0.0000 0.5000 [1 per cell]
Pr: 0.3333 0.6667 0.1200 [2 per cell]
Ge: 0.1854 0.3708 0.7803 [6 per cell]
Rh: 0.3333 0.6667 0.5410 [2 per cell]

Computed properties:
uncorrected energy = -5.305 eV/atom
calculated formation energy = -0.4172 eV per atom

---

Record 12
Density functional theory data (GGA-PBE) for crystalline LiPr2Ge2Rh5 at its relaxed geometry.

abc: 10.046 10.046 3.564
angles: 90.00 90.00 90.00
Space group P4/mbm (No. 127)
One atom of each set of equivalent atoms:
Li: 0.000 0.000 0.000 [2 per cell]
Pr: 0.174 0.326 0.000 [4 per cell]
Ge: 0.125 0.625 0.000 [4 per cell]
Rh: 0.000 0.500 0.500 [2 per cell]
Rh: 0.066 0.789 0.500 [8 per cell]

Computed properties:
uncorrected energy = -6.332 eV/atom
calculated formation energy = -0.5856 eV per atom